Computed, not measured: a geometry-optimized PmMn3Ga4O12 structure at the PBE+U level of DFT.

Calculated values
E_tot, eV per atom: -6.87

```
data_PmMn3Ga4O12
_chemical_formula_sum 'Pm2 Mn6 Ga8 O24'
_cell_length_a 7.486
_cell_length_b 7.486
_cell_length_c 7.486
_cell_angle_alpha 90.00
_cell_angle_beta 90.00
_cell_angle_gamma 90.00
_symmetry_space_group_name_H-M 'I m -3'
_symmetry_Int_Tables_number 204
_symmetry_space_group_name_Hall '-I 2 2 3'
loop_
_atom_site_label
_atom_site_type_symbol
_atom_site_fract_x
_atom_site_fract_y
_atom_site_fract_z
Pm1 Pm 0.000 0.000 0.000
Mn1 Mn 0.000 0.000 0.500
Ga1 Ga 0.250 0.250 0.250
O1 O 0.000 0.307 0.175
```

Computed, not measured: a geometry-optimized PmMn2GaO6 structure at the PBE+U level of DFT.

Calculated values
E_tot, eV per atom: -7.30

```
data_PmMn2GaO6
_chemical_formula_sum 'Pm3 Mn6 Ga3 O18'
_cell_length_a 5.2979
_cell_length_b 5.2979
_cell_length_c 14.3926
_cell_angle_alpha 90.00
_cell_angle_beta 90.00
_cell_angle_gamma 120.00
_symmetry_space_group_name_H-M 'R 3'
_symmetry_Int_Tables_number 146
_symmetry_space_group_name_Hall 'R 3'
loop_
_atom_site_label
_atom_site_type_symbol
_atom_site_fract_x
_atom_site_fract_y
_atom_site_fract_z
Pm1 Pm 0.0000 0.0000 0.0000
Mn1 Mn 0.0000 0.0000 0.2657
Mn2 Mn 0.0000 0.0000 0.7816
Ga1 Ga 0.0000 0.0000 0.4739
O1 O 0.0112 0.5917 0.0430
O2 O 0.0319 0.3608 0.5313
```

Computed, not measured: a geometry-optimized PrMn3Ga4O12 structure at the PBE+U level of DFT.

Calculated values
E_tot, eV per atom: -6.87

```
data_PrMn3Ga4O12
_chemical_formula_sum 'Pr2 Mn6 Ga8 O24'
_cell_length_a 7.503
_cell_length_b 7.503
_cell_length_c 7.503
_cell_angle_alpha 90.00
_cell_angle_beta 90.00
_cell_angle_gamma 90.00
_symmetry_space_group_name_H-M 'I m -3'
_symmetry_Int_Tables_number 204
_symmetry_space_group_name_Hall '-I 2 2 3'
loop_
_atom_site_label
_atom_site_type_symbol
_atom_site_fract_x
_atom_site_fract_y
_atom_site_fract_z
Pr1 Pr 0.000 0.000 0.000
Mn1 Mn 0.000 0.000 0.500
Ga1 Ga 0.250 0.250 0.250
O1 O 0.000 0.176 0.308
```

Computed, not measured: a geometry-optimized MnGaPtO6 structure at the PBE+U level of DFT.

Calculated values
E_tot, eV per atom: -6.12

```
data_MnGaPtO6
_chemical_formula_sum 'Mn2 Ga2 Pt2 O12'
_cell_length_a 5.0675
_cell_length_b 5.0675
_cell_length_c 8.5098
_cell_angle_alpha 90.00
_cell_angle_beta 90.00
_cell_angle_gamma 120.00
_symmetry_space_group_name_H-M 'P -3 1 c'
_symmetry_Int_Tables_number 163
_symmetry_space_group_name_Hall '-P 3 2c'
loop_
_atom_site_label
_atom_site_type_symbol
_atom_site_fract_x
_atom_site_fract_y
_atom_site_fract_z
Mn1 Mn 0.0000 0.0000 0.0000
Ga1 Ga 0.3333 0.6667 0.2500
Pt1 Pt 0.3333 0.6667 0.7500
O1 O 0.0029 0.3396 0.1243
```

Computed, not measured: a geometry-optimized PuMn2GaO6 structure at the PBE+U level of DFT.

Calculated values
E_tot, eV per atom: -8.11

```
data_PuMn2GaO6
_chemical_formula_sum 'Pu3 Mn6 Ga3 O18'
_cell_length_a 5.3004
_cell_length_b 5.3004
_cell_length_c 14.4431
_cell_angle_alpha 90.00
_cell_angle_beta 90.00
_cell_angle_gamma 120.00
_symmetry_space_group_name_H-M 'R 3'
_symmetry_Int_Tables_number 146
_symmetry_space_group_name_Hall 'R 3'
loop_
_atom_site_label
_atom_site_type_symbol
_atom_site_fract_x
_atom_site_fract_y
_atom_site_fract_z
Pu1 Pu 0.0000 0.0000 0.0000
Mn1 Mn 0.0000 0.0000 0.2783
Mn2 Mn 0.0000 0.0000 0.8009
Ga1 Ga 0.0000 0.0000 0.4879
O1 O 0.0156 0.6321 0.0649
O2 O 0.0416 0.3539 0.5527
```

Computed, not measured: a geometry-optimized PuMn2GaO8 structure at the PBE+U level of DFT.

Calculated values
E_tot, eV per atom: -7.57

```
data_PuMn2GaO8
_chemical_formula_sum 'Pu2 Mn4 Ga2 O16'
_cell_length_a 6.444
_cell_length_b 6.444
_cell_length_c 7.026
_cell_angle_alpha 90.00
_cell_angle_beta 90.00
_cell_angle_gamma 90.00
_symmetry_space_group_name_H-M 'I -4 m 2'
_symmetry_Int_Tables_number 119
_symmetry_space_group_name_Hall 'I -4 -2'
loop_
_atom_site_label
_atom_site_type_symbol
_atom_site_fract_x
_atom_site_fract_y
_atom_site_fract_z
Pu1 Pu 0.000 0.000 0.000
Mn1 Mn 0.000 0.000 0.500
Mn2 Mn 0.000 0.500 0.250
Ga1 Ga 0.000 0.500 0.750
O1 O 0.000 0.194 0.690
O2 O 0.000 0.301 0.034
```

Computed, not measured: a geometry-optimized MnGaReO6 structure at the PBE+U level of DFT.

Calculated values
E_tot, eV per atom: -7.47

```
data_MnGaReO6
_chemical_formula_sum 'Mn2 Ga2 Re2 O12'
_cell_length_a 4.699
_cell_length_b 4.699
_cell_length_c 9.183
_cell_angle_alpha 90.00
_cell_angle_beta 90.00
_cell_angle_gamma 90.00
_symmetry_space_group_name_H-M 'P 42 n m'
_symmetry_Int_Tables_number 102
loop_
_symmetry_equiv_pos_as_xyz
'x,y,z'
'-y+1/2,x+1/2,z+1/2'
'-x,-y,z'
'y+1/2,-x+1/2,z+1/2'
'-x+1/2,y+1/2,z+1/2'
'y,x,z'
'x+1/2,-y+1/2,z+1/2'
'-y,-x,z'
loop_
_atom_site_label
_atom_site_type_symbol
_atom_site_fract_x
_atom_site_fract_y
_atom_site_fract_z
Mn1 Mn 0.000 0.000 0.000
Ga1 Ga 0.000 0.000 0.328
Re1 Re 0.000 0.000 0.665
O1 O 0.184 0.184 0.502
O2 O 0.203 0.203 0.808
O3 O 0.213 0.213 0.173
```

Computed, not measured: a geometry-optimized MnGaRu2O structure at the PBE+U level of DFT.

Calculated values
E_tot, eV per atom: -4.92

```
data_MnGaRu2O
_chemical_formula_sum 'Mn1 Ga1 Ru2 O1'
_cell_length_a 4.651
_cell_length_b 4.651
_cell_length_c 4.640
_cell_angle_alpha 90.00
_cell_angle_beta 90.00
_cell_angle_gamma 90.00
_symmetry_space_group_name_H-M 'P 4/m m m'
_symmetry_Int_Tables_number 123
_symmetry_space_group_name_Hall '-P 4 2'
loop_
_atom_site_label
_atom_site_type_symbol
_atom_site_fract_x
_atom_site_fract_y
_atom_site_fract_z
Mn1 Mn 0.000 0.000 0.000
Ga1 Ga 0.000 0.000 0.500
Ru1 Ru 0.000 0.500 0.000
O1 O 0.500 0.500 0.500
```